First-principles (GGA+U) data for a relaxed K2WAuF crystal, as listed in the Alexandria database.

The calculation puts the total energy at -3.176 eV/atom. As for the density of states at the Fermi level: 1.45 states/eV/f.u. Its total magnetization is 4.143 μB per formula unit.

It has space group P4/mmm (No. 123), with a = 4.833 Å, b = 4.833 Å, c = 5.878 Å, α = 90.00°, β = 90.00° and γ = 90.00°. Symmetry generates all atoms from K at (0.000, 0.500, 0.000), W at (0.000, 0.000, 0.500), Au at (0.500, 0.500, 0.500) and F at (0.000, 0.000, 0.000).